(1)
# Rb2VSnSb | Alexandria via LeMat-Bulk | GGA-PBE | optimized geometry
data_Rb2VSnSb
_symmetry_space_group_name_H-M 'P 4/m m m'
_symmetry_Int_Tables_number 123
_symmetry_space_group_name_Hall '-P 4 2'
_cell_length_a 6.241
_cell_length_b 6.241
_cell_length_c 5.327
_cell_angle_alpha 90.00
_cell_angle_beta 90.00
_cell_angle_gamma 90.00
loop_
_atom_site_label
_atom_site_type_symbol
_atom_site_fract_x
_atom_site_fract_y
_atom_site_fract_z
Rb1 Rb 0.000 0.500 0.000
V1 V 0.000 0.000 0.000
Sn1 Sn 0.000 0.000 0.500
Sb1 Sb 0.500 0.500 0.500
# uncorrected formation energy	0.720	eV/atom
# calculated density	3.70	g/cm3

(2)
# RbSnSb2W | Alexandria via LeMat-Bulk | GGA-PBE | optimized geometry
data_RbSnSb2W
_symmetry_space_group_name_H-M 'P 4/m m m'
_symmetry_Int_Tables_number 123
_symmetry_space_group_name_Hall '-P 4 2'
_cell_length_a 5.686
_cell_length_b 5.686
_cell_length_c 5.647
_cell_angle_alpha 90.00
_cell_angle_beta 90.00
_cell_angle_gamma 90.00
loop_
_atom_site_label
_atom_site_type_symbol
_atom_site_fract_x
_atom_site_fract_y
_atom_site_fract_z
Rb1 Rb 0.000 0.000 0.000
Sn1 Sn 0.000 0.000 0.500
Sb1 Sb 0.000 0.500 0.000
W1 W 0.500 0.500 0.500
# uncorrected formation energy	2.684	eV/atom
# calculated density	5.74	g/cm3

(3)
# RbYSnSb2 | Alexandria via LeMat-Bulk | GGA-PBE | optimized geometry
data_RbYSnSb2
_symmetry_space_group_name_H-M 'P 4/m m m'
_symmetry_Int_Tables_number 123
_symmetry_space_group_name_Hall '-P 4 2'
_cell_length_a 5.944
_cell_length_b 5.944
_cell_length_c 5.711
_cell_angle_alpha 90.00
_cell_angle_beta 90.00
_cell_angle_gamma 90.00
loop_
_atom_site_label
_atom_site_type_symbol
_atom_site_fract_x
_atom_site_fract_y
_atom_site_fract_z
Rb1 Rb 0.000 0.000 0.000
Y1 Y 0.500 0.500 0.000
Sn1 Sn 0.500 0.500 0.500
Sb1 Sb 0.000 0.500 0.500
# uncorrected formation energy	0.199	eV/atom
# calculated density	4.42	g/cm3

(4)
# RbY2SnSb | Alexandria via LeMat-Bulk | GGA-PBE | optimized geometry
data_RbY2SnSb
_symmetry_space_group_name_H-M 'P 4/m m m'
_symmetry_Int_Tables_number 123
_symmetry_space_group_name_Hall '-P 4 2'
_cell_length_a 5.529
_cell_length_b 5.529
_cell_length_c 5.874
_cell_angle_alpha 90.00
_cell_angle_beta 90.00
_cell_angle_gamma 90.00
loop_
_atom_site_label
_atom_site_type_symbol
_atom_site_fract_x
_atom_site_fract_y
_atom_site_fract_z
Rb1 Rb 0.000 0.000 0.000
Y1 Y 0.000 0.500 0.000
Sn1 Sn 0.500 0.500 0.500
Sb1 Sb 0.000 0.000 0.500
# uncorrected formation energy	1.207	eV/atom
# calculated density	4.66	g/cm3

(5)
# RbZnSnSb | Alexandria via LeMat-Bulk | GGA-PBE | optimized geometry
data_RbZnSnSb
_symmetry_space_group_name_H-M 'P 4/n m m'
_symmetry_Int_Tables_number 129
_cell_length_a 4.296
_cell_length_b 4.296
_cell_length_c 14.726
_cell_angle_alpha 90.00
_cell_angle_beta 90.00
_cell_angle_gamma 90.00
loop_
_symmetry_equiv_pos_as_xyz
'x,y,z'
'-x,-y,-z'
'-y+1/2,x,z'
'y+1/2,-x,-z'
'-x+1/2,-y+1/2,z'
'x+1/2,y+1/2,-z'
'y,-x+1/2,z'
'-y,x+1/2,-z'
'x+1/2,-y,-z'
'-x+1/2,y,z'
'-y,-x,-z'
'y,x,z'
'-x,y+1/2,-z'
'x,-y+1/2,z'
'y+1/2,x+1/2,-z'
'-y+1/2,-x+1/2,z'
loop_
_atom_site_label
_atom_site_type_symbol
_atom_site_fract_x
_atom_site_fract_y
_atom_site_fract_z
Rb1 Rb 0.250 0.250 0.238
Zn1 Zn 0.250 0.750 0.500
Sn1 Sn 0.250 0.750 0.000
Sb1 Sb 0.250 0.250 0.617
# uncorrected formation energy	-0.185	eV/atom
# calculated density	4.78	g/cm3

(6)
# Rb3SrSb | Alexandria via LeMat-Bulk | GGA-PBE | optimized geometry
data_Rb3SrSb
_symmetry_space_group_name_H-M 'P m -3 m'
_symmetry_Int_Tables_number 221
_symmetry_space_group_name_Hall '-P 4 2 3'
_cell_length_a 7.142
_cell_length_b 7.142
_cell_length_c 7.142
_cell_angle_alpha 90.00
_cell_angle_beta 90.00
_cell_angle_gamma 90.00
loop_
_atom_site_label
_atom_site_type_symbol
_atom_site_fract_x
_atom_site_fract_y
_atom_site_fract_z
Rb1 Rb 0.000 0.000 0.500
Sr1 Sr 0.500 0.500 0.500
Sb1 Sb 0.000 0.000 0.000
# uncorrected formation energy	0.001	eV/atom
# calculated density	2.12	g/cm3
# E above lowest polymorph	0	kJ/mol of formula units

(7)
# Rb2SrSb2 | Alexandria via LeMat-Bulk | GGA-PBE | optimized geometry
data_Rb2SrSb2
_symmetry_space_group_name_H-M 'I 4/m m m'
_symmetry_Int_Tables_number 139
_symmetry_space_group_name_Hall '-I 4 2'
_cell_length_a 4.997
_cell_length_b 4.997
_cell_length_c 16.172
_cell_angle_alpha 90.00
_cell_angle_beta 90.00
_cell_angle_gamma 90.00
loop_
_atom_site_label
_atom_site_type_symbol
_atom_site_fract_x
_atom_site_fract_y
_atom_site_fract_z
Rb1 Rb 0.000 0.500 0.250
Sr1 Sr 0.000 0.000 0.000
Sb1 Sb 0.000 0.000 0.412
# uncorrected formation energy	-0.363	eV/atom
# calculated density	4.13	g/cm3
# E above lowest polymorph	65	kJ/mol of formula units

(8)
# RbSr2Sb | Alexandria via LeMat-Bulk | GGA-PBE | optimized geometry
data_RbSr2Sb
_symmetry_space_group_name_H-M 'I -4 2 d'
_symmetry_Int_Tables_number 122
_symmetry_space_group_name_Hall 'I -4 2bw'
_cell_length_a 10.691
_cell_length_b 10.691
_cell_length_c 7.707
_cell_angle_alpha 90.00
_cell_angle_beta 90.00
_cell_angle_gamma 90.00
loop_
_atom_site_label
_atom_site_type_symbol
_atom_site_fract_x
_atom_site_fract_y
_atom_site_fract_z
Rb1 Rb 0.000 0.000 0.000
Sr1 Sr 0.152 0.750 0.625
Sb1 Sb 0.000 0.000 0.500
# uncorrected formation energy	-0.321	eV/atom
# calculated density	2.88	g/cm3

Among the records above, which one has the highest uncorrected formation energy? RbSnSb2W